Computed, not measured: a relaxed Ba3Na2Sr3Cd crystal at the GGA-PBE level of DFT.

Space-group type: P-62m (189)
Formation energy: -0.04 eV per atom

abc: 4.586 10.735 10.735
angles: 120.00 90.00 90.00
Atoms (fractional coordinates):
Ba 0.500 0.751 0.000
Ba 0.500 0.000 0.751
Ba 0.500 0.249 0.249
Na 0.500 0.667 0.333
Na 0.500 0.333 0.667
Sr 0.000 0.609 0.609
Sr 0.000 0.000 0.391
Sr 0.000 0.391 0.000
Cd 0.000 0.000 0.000